DFT (PBE with a Hubbard U) results for NaMn3F9 after structural relaxation.

abc: 5.4501 7.6461 8.5196
angles: 90.00 92.79 90.00
Closest atoms and distances in Å follow each position.
Fractional coordinates of all 26 atoms:
Na (0.0291, 0.2500, 0.4398)  8 F 2.43-2.65
Na (0.9709, 0.7500, 0.5602)  8 F 2.43-2.65
Mn (0.0000, 0.0000, 0.0000)  6 F 1.87-2.08
Mn (0.0000, 0.5000, 0.0000)  6 F 1.87-2.08
Mn (0.4731, 0.4981, 0.6886)  6 F 1.97-2.19
Mn (0.4731, 0.0019, 0.6886)  6 F 1.97-2.19
Mn (0.5269, 0.9981, 0.3114)  6 F 1.97-2.19
Mn (0.5269, 0.5019, 0.3114)  6 F 1.97-2.19
F (0.0921, 0.2500, 0.9856)  2 Mn 1.98
F (0.1663, 0.9452, 0.7911)  2 Mn 1.97-2.08
F (0.1663, 0.5548, 0.7911)  2 Mn 1.97-2.08
F (0.2613, 0.9617, 0.4659)  2 Mn 2.02-2.19
F (0.2613, 0.5383, 0.4659)  2 Mn 2.02-2.19
F (0.3726, 0.2500, 0.6695)  2 Mn 1.98
F (0.2948, 0.9551, 0.1155)  2 Mn 1.87-2.07
F (0.2948, 0.5449, 0.1155)  2 Mn 1.87-2.07
F (0.4315, 0.2500, 0.3112)  2 Mn 1.99
F (0.5685, 0.7500, 0.6888)  2 Mn 1.99
F (0.7052, 0.0449, 0.8845)  2 Mn 1.87-2.07
F (0.7052, 0.4551, 0.8845)  2 Mn 1.87-2.07
F (0.6274, 0.7500, 0.3305)  2 Mn 1.98
F (0.7387, 0.0383, 0.5341)  2 Mn 2.02-2.19
F (0.7387, 0.4617, 0.5341)  2 Mn 2.02-2.19
F (0.8337, 0.0548, 0.2089)  2 Mn 1.97-2.08
F (0.8337, 0.4452, 0.2089)  2 Mn 1.97-2.08
F (0.9079, 0.7500, 0.0144)  2 Mn 1.98

Values from the calculation:
Crystal system   monoclinic
SG   No. 11
Total magnetic moment   26.0 μB/cell
DFT total energy   -5.69 eV per atom